# 1
The following is a GGA-PBE calculation of an optimized crystal structure of Sn2GeRu2, from Alexandria.

Cell and atoms, written as CIF:
```
data_Sn2GeRu2
_chemical_formula_sum 'Sn4 Ge2 Ru4'
_cell_length_a 6.7860
_cell_length_b 6.7860
_cell_length_c 4.1244
_cell_angle_alpha 90.00
_cell_angle_beta 90.00
_cell_angle_gamma 90.00
_symmetry_space_group_name_H-M 'P 4/m b m'
_symmetry_Int_Tables_number 127
_symmetry_space_group_name_Hall '-P 4 2ab'
loop_
_atom_site_label
_atom_site_fract_x
_atom_site_fract_y
_atom_site_fract_z
_atom_site_occupancy
Sn1 0.1545 0.3455 0.0000 1
Ge1 0.0000 0.0000 0.5000 1
Ru1 0.1557 0.6557 0.5000 1
```

Computed properties:
Energy relative to the elements ... 0.057 eV/atom
DFT total energy ... -61.8 eV per cell
Crystal system ... tetragonal
Total magnetization ... 0.0 μB/cell

# 2
The following is a GGA-PBE calculation of an optimized crystal structure of Sr2TlSbN, from Alexandria.

Cell and atoms, written as CIF:
```
data_Sr2TlSbN
_chemical_formula_sum 'Sr2 Tl1 Sb1 N1'
_cell_length_a 5.3157
_cell_length_b 5.3157
_cell_length_c 4.7675
_cell_angle_alpha 90.00
_cell_angle_beta 90.00
_cell_angle_gamma 90.00
_symmetry_space_group_name_H-M 'P 4/m m m'
_symmetry_Int_Tables_number 123
_symmetry_space_group_name_Hall '-P 4 2'
loop_
_atom_site_label
_atom_site_fract_x
_atom_site_fract_y
_atom_site_fract_z
_atom_site_occupancy
Sr1 0.0000 0.5000 0.0000 1
Tl1 0.0000 0.0000 0.5000 1
Sb1 0.5000 0.5000 0.5000 1
N1 0.0000 0.0000 0.0000 1
```

Computed properties:
DFT total energy ... -20.9 eV per cell
Crystal system ... tetragonal
Total magnetization ... 0.0 μB/cell

# 3
The following is a GGA-PBE calculation of an optimized crystal structure of La4PrU3N8, from Alexandria.

Cell and atoms, written as CIF:
```
data_La4PrU3N8
_chemical_formula_sum 'La12 Pr3 U9 N24'
_cell_length_a 7.1525
_cell_length_b 7.1525
_cell_length_c 17.8082
_cell_angle_alpha 90.00
_cell_angle_beta 90.00
_cell_angle_gamma 120.00
_symmetry_space_group_name_H-M 'R -3 m'
_symmetry_Int_Tables_number 166
_symmetry_space_group_name_Hall '-R 3 2"'
loop_
_atom_site_label
_atom_site_fract_x
_atom_site_fract_y
_atom_site_fract_z
_atom_site_occupancy
La1 0.0000 0.0000 0.0000 1
La2 0.0000 0.5000 0.0000 1
Pr1 0.0000 0.0000 0.5000 1
U1 0.0000 0.5000 0.5000 1
N1 0.0000 0.0000 0.2324 1
N2 0.0300 0.5150 0.7661 1
```

Computed properties:
DFT total energy ... -441.2 eV per cell
Crystal system ... trigonal
Total magnetization ... 3.7 μB/cell

# 4
The following is a GGA-PBE calculation of an optimized crystal structure of Dy3HgH, from Alexandria.

Cell and atoms, written as CIF:
```
data_Dy3HgH
_chemical_formula_sum 'Dy3 Hg1 H1'
_cell_length_a 4.8134
_cell_length_b 4.8134
_cell_length_c 4.8134
_cell_angle_alpha 90.00
_cell_angle_beta 90.00
_cell_angle_gamma 90.00
_symmetry_space_group_name_H-M 'P m -3 m'
_symmetry_Int_Tables_number 221
_symmetry_space_group_name_Hall '-P 4 2 3'
loop_
_atom_site_label
_atom_site_fract_x
_atom_site_fract_y
_atom_site_fract_z
_atom_site_occupancy
Dy1 0.0000 0.0000 0.5000 1
Hg1 0.5000 0.5000 0.5000 1
H1 0.0000 0.0000 0.0000 1
```

Computed properties:
DFT total energy ... -18.8 eV per cell
Crystal system ... cubic
Total magnetization ... 1.7 μB/cell

# 5
The following is a GGA-PBE calculation of an optimized crystal structure of Ba2GeAu2, from Alexandria.

Cell and atoms, written as CIF:
```
data_Ba2GeAu2
_chemical_formula_sum 'Ba8 Ge4 Au8'
_cell_length_a 12.3251
_cell_length_b 4.5857
_cell_length_c 12.3835
_cell_angle_alpha 90.00
_cell_angle_beta 115.03
_cell_angle_gamma 90.00
_symmetry_space_group_name_H-M 'C 1 2/m 1'
_symmetry_Int_Tables_number 12
_symmetry_space_group_name_Hall '-C 2y'
loop_
_atom_site_label
_atom_site_fract_x
_atom_site_fract_y
_atom_site_fract_z
_atom_site_occupancy
Ba1 0.0944 0.0000 0.3969 1
Ba2 0.1984 0.5000 0.1342 1
Ge1 0.0662 0.5000 0.8206 1
Au1 0.0352 0.0000 0.9035 1
Au2 0.1250 0.5000 0.6237 1
```

Computed properties:
Energy relative to the elements ... -0.649 eV/atom
DFT total energy ... -73.0 eV per cell
Crystal system ... monoclinic
Total magnetization ... 0.0 μB/cell

# 6
The following is a GGA-PBE calculation of an optimized crystal structure of La2ZrAlH, from Alexandria.

Cell and atoms, written as CIF:
```
data_La2ZrAlH
_chemical_formula_sum 'La2 Zr1 Al1 H1'
_cell_length_a 4.8448
_cell_length_b 4.8448
_cell_length_c 4.7722
_cell_angle_alpha 90.00
_cell_angle_beta 90.00
_cell_angle_gamma 90.00
_symmetry_space_group_name_H-M 'P 4/m m m'
_symmetry_Int_Tables_number 123
_symmetry_space_group_name_Hall '-P 4 2'
loop_
_atom_site_label
_atom_site_fract_x
_atom_site_fract_y
_atom_site_fract_z
_atom_site_occupancy
La1 0.0000 0.5000 0.0000 1
Zr1 0.0000 0.0000 0.5000 1
Al1 0.5000 0.5000 0.5000 1
H1 0.0000 0.0000 0.0000 1
```

Computed properties:
DFT total energy ... -26.4 eV per cell
Crystal system ... tetragonal
Total magnetization ... 0.0 μB/cell

# 7
The following is a GGA-PBE calculation of an optimized crystal structure of PrSm2Sb2, from Alexandria.

Cell and atoms, written as CIF:
```
data_PrSm2Sb2
_chemical_formula_sum 'Pr2 Sm4 Sb4'
_cell_length_a 6.4542
_cell_length_b 6.5122
_cell_length_c 8.0245
_cell_angle_alpha 90.00
_cell_angle_beta 113.66
_cell_angle_gamma 90.00
_symmetry_space_group_name_H-M 'C 1 2/m 1'
_symmetry_Int_Tables_number 12
_symmetry_space_group_name_Hall '-C 2y'
loop_
_atom_site_label
_atom_site_fract_x
_atom_site_fract_y
_atom_site_fract_z
_atom_site_occupancy
Pr1 0.0000 0.0000 0.0000 1
Sm1 0.0000 0.2510 0.5000 1
Sb1 0.1031 0.5000 0.2033 1
```

Computed properties:
DFT total energy ... -51.9 eV per cell
Crystal system ... monoclinic
Total magnetization ... 0.0 μB/cell

# 8
The following is a GGA-PBE calculation of an optimized crystal structure of K2Bi3F11, from Alexandria.

Cell and atoms, written as CIF:
```
data_K2Bi3F11
_chemical_formula_sum 'K2 Bi3 F11'
_cell_length_a 4.1407
_cell_length_b 4.1409
_cell_length_c 19.1930
_cell_angle_alpha 84.01
_cell_angle_beta 84.21
_cell_angle_gamma 60.07
_symmetry_space_group_name_H-M 'P 1'
_symmetry_Int_Tables_number 1
_symmetry_space_group_name_Hall 'P 1'
loop_
_atom_site_label
_atom_site_fract_x
_atom_site_fract_y
_atom_site_fract_z
_atom_site_occupancy
K1 0.0000 0.0000 0.0000 1
K2 0.3833 0.3810 0.8500 1
Bi1 0.1064 0.1086 0.6654 1
Bi2 0.1921 0.1913 0.4250 1
Bi3 0.2772 0.2725 0.1845 1
F1 0.0710 0.0698 0.7821 1
F2 0.1517 0.1500 0.5443 1
F3 0.2324 0.2315 0.3057 1
F4 0.3126 0.3112 0.0679 1
F5 0.4292 0.4323 0.6937 1
F6 0.5181 0.5170 0.4488 1
F7 0.6057 0.5989 0.2057 1
F8 0.6916 0.6904 0.9250 1
F9 0.7778 0.7821 0.6443 1
F10 0.8661 0.8663 0.4012 1
F11 0.9543 0.9487 0.1563 1
```

Computed properties:
DFT total energy ... -75.1 eV per cell
Crystal system ... triclinic
Total magnetization ... 0.1 μB/cell

# 9
The following is a GGA-PBE calculation of an optimized crystal structure of Pm2DyY2, from Alexandria.

Cell and atoms, written as CIF:
```
data_Pm2DyY2
_chemical_formula_sum 'Pm8 Dy4 Y8'
_cell_length_a 8.7309
_cell_length_b 12.3130
_cell_length_c 6.5906
_cell_angle_alpha 90.00
_cell_angle_beta 108.31
_cell_angle_gamma 90.00
_symmetry_space_group_name_H-M 'P 1 21/c 1'
_symmetry_Int_Tables_number 14
_symmetry_space_group_name_Hall '-P 2ybc'
loop_
_atom_site_label
_atom_site_fract_x
_atom_site_fract_y
_atom_site_fract_z
_atom_site_occupancy
Pm1 0.0828 0.0461 0.2556 1
Pm2 0.3500 0.5431 0.2387 1
Dy1 0.3642 0.6549 0.7326 1
Y1 0.0441 0.7045 0.9169 1
Y2 0.3026 0.1965 0.0005 1
```

Computed properties:
Energy relative to the elements ... 0.140 eV/atom
DFT total energy ... -105.3 eV per cell
Crystal system ... monoclinic
Total magnetization ... 0.0 μB/cell

# 10
The following is a GGA-PBE calculation of an optimized crystal structure of Dy4InCuRu2, from Alexandria.

Cell and atoms, written as CIF:
```
data_Dy4InCuRu2
_chemical_formula_sum 'Dy12 In3 Cu3 Ru6'
_cell_length_a 4.9640
_cell_length_b 4.9640
_cell_length_c 24.2806
_cell_angle_alpha 90.00
_cell_angle_beta 90.00
_cell_angle_gamma 120.00
_symmetry_space_group_name_H-M 'R -3 m'
_symmetry_Int_Tables_number 166
_symmetry_space_group_name_Hall '-R 3 2"'
loop_
_atom_site_label
_atom_site_fract_x
_atom_site_fract_y
_atom_site_fract_z
_atom_site_occupancy
Dy1 0.0000 0.0000 0.1191 1
Dy2 0.0000 0.0000 0.3703 1
In1 0.0000 0.0000 0.5000 1
Cu1 0.0000 0.0000 0.0000 1
Ru1 0.0000 0.0000 0.2483 1
```

Computed properties:
Energy relative to the elements ... -0.330 eV/atom
DFT total energy ... -139.3 eV per cell
Crystal system ... trigonal
Total magnetization ... 0.0 μB/cell

# 11
The following is a GGA-PBE calculation of an optimized crystal structure of PrSi2Mo2C, from Alexandria.

Cell and atoms, written as CIF:
```
data_PrSi2Mo2C
_chemical_formula_sum 'Pr1 Si2 Mo2 C1'
_cell_length_a 4.2325
_cell_length_b 4.2325
_cell_length_c 5.4623
_cell_angle_alpha 90.00
_cell_angle_beta 90.00
_cell_angle_gamma 90.00
_symmetry_space_group_name_H-M 'P 4/m m m'
_symmetry_Int_Tables_number 123
_symmetry_space_group_name_Hall '-P 4 2'
loop_
_atom_site_label
_atom_site_fract_x
_atom_site_fract_y
_atom_site_fract_z
_atom_site_occupancy
Pr1 0.0000 0.0000 0.0000 1
Si1 0.5000 0.5000 0.2222 1
Mo1 0.0000 0.5000 0.5000 1
C1 0.0000 0.0000 0.5000 1
```

Computed properties:
DFT total energy ... -49.2 eV per cell
Crystal system ... tetragonal
Total magnetization ... 0.0 μB/cell

# 12
The following is a GGA-PBE calculation of an optimized crystal structure of ZrZn3Fe, from Alexandria.

Cell and atoms, written as CIF:
```
data_ZrZn3Fe
_chemical_formula_sum 'Zr1 Zn3 Fe1'
_cell_length_a 4.4713
_cell_length_b 4.4713
_cell_length_c 4.4713
_cell_angle_alpha 90.00
_cell_angle_beta 90.00
_cell_angle_gamma 90.00
_symmetry_space_group_name_H-M 'P m -3 m'
_symmetry_Int_Tables_number 221
_symmetry_space_group_name_Hall '-P 4 2 3'
loop_
_atom_site_label
_atom_site_fract_x
_atom_site_fract_y
_atom_site_fract_z
_atom_site_occupancy
Zr1 0.0000 0.0000 0.0000 1
Zn1 0.0000 0.5000 0.5000 1
Fe1 0.5000 0.5000 0.5000 1
```

Computed properties:
Energy relative to the elements ... 0.341 eV/atom
DFT total energy ... -19.1 eV per cell
Crystal system ... cubic
Total magnetization ... 1.8 μB/cell

Number 1: ρ 8.96 g cm⁻³. Number 2: ρ 6.35 g cm⁻³. Number 3: ρ 9.61 g cm⁻³. Number 4: ρ 10.26 g cm⁻³. Number 5: ρ 7.76 g cm⁻³. Number 6: ρ 5.89 g cm⁻³. Number 7: ρ 7.37 g cm⁻³. Number 8: ρ 5.36 g cm⁻³. Number 9: ρ 6.22 g cm⁻³. Number 10: ρ 9.91 g cm⁻³. Number 11: ρ 6.80 g cm⁻³. Number 12: ρ 6.38 g cm⁻³.